7
Lattice="4.488 0.000 0.000 0.000 4.488 0.000 0.000 0.000 7.847" Properties=species:S:1:pos:R:3 comment="CeInAu5 (PBE-GGA, relaxed)" formation_energy_ev_per_atom=-0.2590 e_above_lowest_polymorph_ev_per_atom=0.1380 final_energy_ev_per_cell=-26.87 pbc="T T T"
Ce 0.000 0.000 0.000
In 0.000 0.000 3.924
Au 0.000 2.244 2.139
Au 0.000 2.244 5.708
Au 2.244 0.000 2.139
Au 2.244 0.000 5.708
Au 2.244 2.244 0.000

6
Lattice="3.610 0.000 0.000 0.000 4.959 0.000 0.000 0.000 8.611" Properties=species:S:1:pos:R:3 comment="Ce2In3Au (PBE-GGA, relaxed)" formation_energy_ev_per_atom=-0.4694 final_energy_ev_per_cell=-26.18 pbc="T T T"
Ce 0.000 0.000 0.000
Ce 0.000 2.480 4.123
In 1.805 0.000 5.586
In 1.805 2.480 1.373
In 1.805 2.480 7.074
Au 1.805 0.000 2.758

6
Lattice="3.475 0.000 0.000 0.000 3.475 0.000 0.000 0.000 12.743" Properties=species:S:1:pos:R:3 comment="Ce3InAu2 (PBE-GGA, relaxed)" formation_energy_ev_per_atom=-0.5050 final_energy_ev_per_cell=-30.12 pbc="T T T"
Ce 0.000 0.000 0.000
Ce 0.000 0.000 4.041
Ce 0.000 0.000 8.703
In 1.737 1.737 6.372
Au 1.737 1.737 2.032
Au 1.737 1.737 10.711

12
Lattice="2.809 1.622 9.308 -2.809 1.622 9.308 0.000 -3.243 9.308" Properties=species:S:1:pos:R:3 comment="CeIn2Au9 (PBE-GGA, relaxed)" formation_energy_ev_per_atom=-0.2093 final_energy_ev_per_cell=-43.42 pbc="T T T"
Ce 0.000 0.000 0.000
In 0.000 0.000 4.001
In 0.000 0.000 23.923
Au -1.417 -0.818 11.670
Au 0.000 0.000 9.300
Au 0.000 -1.636 16.254
Au -1.417 0.818 16.254
Au 0.000 0.000 13.962
Au 1.417 -0.818 11.670
Au 0.000 1.636 11.670
Au 0.000 0.000 18.624
Au 1.417 0.818 16.254

12
Lattice="7.198 -2.916 0.000 7.198 2.916 0.000 -4.978 0.000 7.526" Properties=species:S:1:pos:R:3 comment="Ce7InAu4 (PBE-GGA, relaxed)" formation_energy_ev_per_atom=-0.3225 final_energy_ev_per_cell=-61.25 pbc="T T T"
Ce 0.000 0.000 0.000
Ce -0.179 0.000 5.322
Ce 3.811 0.000 0.544
Ce 3.510 0.000 4.480
Ce 5.907 0.000 3.046
Ce 5.606 0.000 6.982
Ce 9.596 0.000 2.204
In 7.198 0.000 0.000
Au -3.060 0.000 5.239
Au 1.171 0.000 2.658
Au 8.246 0.000 4.868
Au 12.477 0.000 2.288

10
Lattice="5.304 0.000 0.000 0.000 4.922 0.000 -2.256 0.000 9.322" Properties=species:S:1:pos:R:3 comment="CeIn2Au2 (PBE-GGA, relaxed)" formation_energy_ev_per_atom=-0.4558 final_energy_ev_per_cell=-40.49 pbc="T T T"
Ce 0.280 1.231 2.692
Ce 2.768 3.692 6.630
In 0.289 1.231 6.093
In 1.752 3.692 0.280
In 1.296 1.231 9.042
In 2.758 3.692 3.229
Au -1.394 1.231 8.318
Au 0.069 3.692 4.755
Au 2.978 1.231 4.567
Au 4.441 3.692 1.003

12
Lattice="3.846 0.000 0.000 -1.923 3.331 0.000 0.000 0.000 27.366" Properties=species:S:1:pos:R:3 comment="Ce2InAu (PBE-GGA, relaxed)" formation_energy_ev_per_atom=-0.2841 e_above_lowest_polymorph_ev_per_atom=0.1926 final_energy_ev_per_cell=-57.06 pbc="T T T"
Ce 0.000 0.000 6.637
Ce 0.000 0.000 20.729
Ce 0.000 2.220 11.607
Ce 0.000 2.220 24.880
Ce 1.923 1.110 2.485
Ce 1.923 1.110 15.758
In 0.000 0.000 0.000
In 0.000 2.220 18.244
In 1.923 1.110 9.122
Au 0.000 0.000 13.683
Au 0.000 2.220 4.561
Au 1.923 1.110 22.805

5
Lattice="3.181 0.000 0.000 -1.591 2.755 0.000 0.000 0.000 14.398" Properties=species:S:1:pos:R:3 comment="Ce2In2Au (PBE-GGA, relaxed)" formation_energy_ev_per_atom=0.0362 final_energy_ev_per_cell=-20.44 pbc="T T T"
Ce 0.000 0.000 3.005
Ce 0.000 0.000 11.393
In 0.000 1.837 8.557
In 1.591 0.918 5.841
Au 0.000 0.000 0.000

12
Lattice="5.525 -4.145 0.000 5.525 4.145 0.000 -3.681 0.000 7.389" Properties=species:S:1:pos:R:3 comment="Ce8In3Au (PBE-GGA, relaxed)" formation_energy_ev_per_atom=-0.1554 final_energy_ev_per_cell=-60.83 pbc="T T T"
Ce 0.000 0.000 0.000
Ce -0.686 0.000 3.955
Ce 1.525 0.000 2.436
Ce 4.486 1.830 2.360
Ce 2.186 0.000 6.321
Ce 4.415 1.550 6.245
Ce 4.486 -1.830 2.360
Ce 4.415 -1.550 6.245
In 1.712 2.597 4.410
In 1.712 -2.597 4.410
In 7.545 0.000 1.746
Au 3.223 0.000 0.059

18
Lattice="14.047 0.000 0.000 0.000 4.092 0.000 0.000 0.000 7.842" Properties=species:S:1:pos:R:3 comment="CeInAu (PBE-GGA, relaxed)" formation_energy_ev_per_atom=-0.5806 final_energy_ev_per_cell=-82.15 pbc="T T T"
Ce 0.674 0.000 1.867
Ce 3.512 0.000 6.631
Ce 6.349 0.000 1.867
Ce 7.697 0.000 5.975
Ce 10.535 0.000 1.211
Ce 13.373 0.000 5.975
In 1.643 2.046 4.426
In 3.512 2.046 1.493
In 5.380 2.046 4.426
In 8.666 2.046 3.416
In 10.535 2.046 6.350
In 12.404 2.046 3.416
Au 1.336 2.046 7.348
Au 3.512 0.000 3.499
Au 5.688 2.046 7.348
Au 8.359 2.046 0.494
Au 10.535 0.000 4.343
Au 12.711 2.046 0.494

13
Lattice="2.811 -6.587 0.000 2.811 6.587 0.000 -2.719 0.000 7.077" Properties=species:S:1:pos:R:3 comment="CeInAu11 (PBE-GGA, relaxed)" formation_energy_ev_per_atom=-0.1901 final_energy_ev_per_cell=-47.19 pbc="T T T"
Ce 0.000 0.000 0.000
In 1.452 0.000 3.539
Au -1.359 0.000 3.539
Au 1.406 3.294 0.000
Au 0.097 4.281 4.668
Au 0.111 1.404 5.578
Au 2.807 4.281 2.409
Au 2.793 1.404 1.499
Au 1.406 -3.294 0.000
Au 0.111 -1.404 5.578
Au 0.097 -4.281 4.668
Au 2.793 -1.404 1.499
Au 2.807 -4.281 2.409

12
Lattice="7.385 -2.582 0.000 7.385 2.582 0.000 -4.774 0.000 7.921" Properties=species:S:1:pos:R:3 comment="Ce4InAu7 (PBE-GGA, relaxed)" formation_energy_ev_per_atom=-0.5192 final_energy_ev_per_cell=-55.65 pbc="T T T"
Ce -0.269 0.000 1.949
Ce -0.269 0.000 6.029
Ce 10.265 0.000 1.892
Ce 10.266 0.000 5.972
In 4.998 0.000 3.961
Au -2.387 0.000 3.961
Au 2.286 0.000 0.399
Au 2.057 0.000 4.010
Au 5.336 0.000 1.074
Au 4.660 0.000 6.847
Au 7.939 0.000 3.911
Au 7.711 0.000 7.522